(1)
Computed, not measured: Sm4ScS5 after structural relaxation at the PBE-GGA level of DFT.

Lattice parameters (Å, degrees): 3.9603 3.9603 14.2512 97.99 97.99 90.00
Closest atoms and distances in Å follow each position.
Element x y z (fractional)
Sm  0.4003  0.4003  0.8006  6 S 2.79-2.84
Sm  0.8038  0.8038  0.6076  6 S 2.80-2.86
Sm  0.1962  0.1962  0.3924  6 S 2.80-2.86
Sm  0.5997  0.5997  0.1994  6 S 2.79-2.84
Sc  0.0000  0.0000  0.0000  6 S 2.63-2.80
S  0.0941  0.0941  0.1883  1 Sc 2.63, 5 Sm 2.80-2.85
S  0.5000  0.5000  0.0000  2 Sm 2.79, 4 Sc 2.80
S  0.9059  0.9059  0.8117  1 Sc 2.63, 5 Sm 2.80-2.85
S  0.2986  0.2986  0.5971  6 Sm 2.80-2.86
S  0.7014  0.7014  0.4029  6 Sm 2.80-2.86

Values from the calculation:
The calculation puts the mass density at 6.11 Mg/m³. As for the total magnetic moment: 0.00 μB/f.u. Its space-group type is I4/mmm. The calculation puts the uncorrected formation energy at -1958 meV per atom. For the total DFT energy (no corrections), the calculation gives -65.42 eV per cell. The crystal system is tetragonal.


(2)
Computed, not measured: Ga12Se5S3 after structural relaxation at the PBE-GGA level of DFT.

Lattice parameters (Å, degrees): 14.0137 14.0137 14.0137 109.47 109.47 109.47
Closest atoms and distances in Å follow each position.
Element x y z (fractional)
S  0.7500  0.3750  0.1250  4 Ga 2.64
S  0.8750  0.7500  0.1250  4 Ga 2.64
S  0.3750  0.7500  0.6250  4 Ga 2.64
S  0.2500  0.1250  0.3750  4 Ga 2.64
S  0.8750  0.1250  0.2500  4 Ga 2.64
S  0.3750  0.6250  0.2500  4 Ga 2.64
S  0.6250  0.3750  0.7500  4 Ga 2.64
S  0.1250  0.8750  0.7500  4 Ga 2.64
S  0.7500  0.8750  0.6250  4 Ga 2.64
S  0.6250  0.2500  0.3750  4 Ga 2.64
S  0.1250  0.2500  0.8750  4 Ga 2.64
S  0.2500  0.6250  0.8750  4 Ga 2.64
Se  0.1250  0.3750  0.2500  4 Ga 2.69
Se  0.0000  0.5000  0.0000  6 Ga 2.81
Se  0.0000  0.0000  0.0000  6 Ga 2.81
Se  0.3750  0.2500  0.1250  4 Ga 2.69
Se  0.5000  0.0000  0.5000  6 Ga 2.81
Se  0.5000  0.5000  0.0000  6 Ga 2.81
Se  0.1250  0.7500  0.3750  4 Ga 2.69
Se  0.7500  0.1250  0.8750  4 Ga 2.69
Se  0.7500  0.6250  0.3750  4 Ga 2.69
Se  0.3750  0.1250  0.7500  4 Ga 2.69
Se  0.6250  0.8750  0.2500  4 Ga 2.69
Se  0.5000  0.5000  0.5000  6 Ga 2.81
Se  0.5000  0.0000  0.0000  6 Ga 2.81
Se  0.0000  0.0000  0.5000  6 Ga 2.81
Se  0.2500  0.3750  0.6250  4 Ga 2.69
Se  0.2500  0.8750  0.1250  4 Ga 2.69
Se  0.0000  0.5000  0.5000  6 Ga 2.81
Se  0.8750  0.2500  0.6250  4 Ga 2.69
Se  0.6250  0.7500  0.8750  4 Ga 2.69
Se  0.8750  0.6250  0.7500  4 Ga 2.69
Ga  0.7244  0.1644  0.0639  1 S 2.64, 2 Se 2.69-2.81, 1 Ga 2.83
Ga  0.3395  0.5639  0.3996  1 S 2.64, 2 Se 2.69-2.81, 1 Ga 2.83
Ga  0.9361  0.3356  0.2756  1 S 2.64, 2 Se 2.69-2.81, 1 Ga 2.83
Ga  0.5639  0.2244  0.1644  1 S 2.64, 2 Se 2.69-2.81, 1 Ga 2.83
Ga  0.5600  0.7244  0.6605  1 S 2.64, 2 Se 2.69-2.81, 1 Ga 2.83
Ga  0.9361  0.6004  0.1605  1 S 2.64, 2 Se 2.69-2.81, 1 Ga 2.83
Ga  0.3395  0.7756  0.4400  1 S 2.64, 2 Se 2.69-2.81, 1 Ga 2.83
Ga  0.1004  0.9400  0.1644  1 S 2.64, 2 Se 2.69-2.81, 1 Ga 2.83
Ga  0.6004  0.9361  0.6605  1 S 2.64, 2 Se 2.69-2.81, 1 Ga 2.83
Ga  0.7244  0.5600  0.1605  1 S 2.64, 2 Se 2.69-2.81, 1 Ga 2.83
Ga  0.7756  0.4361  0.3356  1 S 2.64, 2 Se 2.69-2.81, 1 Ga 2.83
Ga  0.8395  0.8996  0.0639  1 S 2.64, 2 Se 2.69-2.81, 1 Ga 2.83
Ga  0.1644  0.7244  0.5639  1 S 2.64, 2 Se 2.69-2.81, 1 Ga 2.83
Ga  0.3356  0.3996  0.0600  1 S 2.64, 2 Se 2.69-2.81, 1 Ga 2.83
Ga  0.0600  0.8996  0.3356  1 S 2.64, 2 Se 2.69-2.81, 1 Ga 2.83
Ga  0.4400  0.1644  0.6004  1 S 2.64, 2 Se 2.69-2.81, 1 Ga 2.83
Ga  0.0600  0.1605  0.2244  1 S 2.64, 2 Se 2.69-2.81, 1 Ga 2.83
Ga  0.4361  0.6605  0.1004  1 S 2.64, 2 Se 2.69-2.81, 1 Ga 2.83
Ga  0.8395  0.9400  0.2756  1 S 2.64, 2 Se 2.69-2.81, 1 Ga 2.83
Ga  0.1644  0.4400  0.1004  1 S 2.64, 2 Se 2.69-2.81, 1 Ga 2.83
Ga  0.3356  0.9361  0.7756  1 S 2.64, 2 Se 2.69-2.81, 1 Ga 2.83
Ga  0.6004  0.6644  0.4400  1 S 2.64, 2 Se 2.69-2.81, 1 Ga 2.83
Ga  0.8996  0.8395  0.5639  1 S 2.64, 2 Se 2.69-2.81, 1 Ga 2.83
Ga  0.7756  0.3395  0.9400  1 S 2.64, 2 Se 2.69-2.81, 1 Ga 2.83
Ga  0.3996  0.3356  0.5600  1 S 2.64, 2 Se 2.69-2.81, 1 Ga 2.83
Ga  0.1004  0.1605  0.4361  1 S 2.64, 2 Se 2.69-2.81, 1 Ga 2.83
Ga  0.2244  0.6605  0.0600  1 S 2.64, 2 Se 2.69-2.81, 1 Ga 2.83
Ga  0.1605  0.0600  0.7244  1 S 2.64, 2 Se 2.69-2.81, 1 Ga 2.83
Ga  0.6644  0.0639  0.2244  1 S 2.64, 2 Se 2.69-2.81, 1 Ga 2.83
Ga  0.8356  0.5600  0.8996  1 S 2.64, 2 Se 2.69-2.81, 1 Ga 2.83
Ga  0.5639  0.3395  0.8996  1 S 2.64, 2 Se 2.69-2.81, 1 Ga 2.83
Ga  0.5600  0.8356  0.3996  1 S 2.64, 2 Se 2.69-2.81, 1 Ga 2.83
Ga  0.9400  0.8395  0.7756  1 S 2.64, 2 Se 2.69-2.81, 1 Ga 2.83
Ga  0.9400  0.1004  0.6644  1 S 2.64, 2 Se 2.69-2.81, 1 Ga 2.83
Ga  0.8356  0.2756  0.4361  1 S 2.64, 2 Se 2.69-2.81, 1 Ga 2.83
Ga  0.1605  0.1004  0.9361  1 S 2.64, 2 Se 2.69-2.81, 1 Ga 2.83
Ga  0.6644  0.6004  0.9400  1 S 2.64, 2 Se 2.69-2.81, 1 Ga 2.83
Ga  0.3996  0.0639  0.3395  1 S 2.64, 2 Se 2.69-2.81, 1 Ga 2.83
Ga  0.2756  0.4400  0.8395  1 S 2.64, 2 Se 2.69-2.81, 1 Ga 2.83
Ga  0.2244  0.5639  0.6644  1 S 2.64, 2 Se 2.69-2.81, 1 Ga 2.83
Ga  0.8996  0.0600  0.8356  1 S 2.64, 2 Se 2.69-2.81, 1 Ga 2.83
Ga  0.6605  0.2244  0.5600  1 S 2.64, 2 Se 2.69-2.81, 1 Ga 2.83
Ga  0.4361  0.7756  0.8356  1 S 2.64, 2 Se 2.69-2.81, 1 Ga 2.83
Ga  0.0639  0.3996  0.8395  1 S 2.64, 2 Se 2.69-2.81, 1 Ga 2.83
Ga  0.4400  0.2756  0.3395  1 S 2.64, 2 Se 2.69-2.81, 1 Ga 2.83
Ga  0.0639  0.6644  0.7244  1 S 2.64, 2 Se 2.69-2.81, 1 Ga 2.83
Ga  0.6605  0.4361  0.6004  1 S 2.64, 2 Se 2.69-2.81, 1 Ga 2.83
Ga  0.2756  0.8356  0.9361  1 S 2.64, 2 Se 2.69-2.81, 1 Ga 2.83

Values from the calculation:
The calculation puts the mass density at 4.16 Mg/m³. As for the total magnetic moment: 0.00 μB/f.u. Its space-group type is Ia-3d. The calculation puts the uncorrected formation energy at -101 meV per atom. For the total DFT energy (no corrections), the calculation gives -272.59 eV per cell. The crystal system is cubic.


(3)
Computed, not measured: KRhCl2 after structural relaxation at the PBE-GGA level of DFT.

Lattice parameters (Å, degrees): 7.3671 7.3671 7.3671 150.38 151.07 41.87
Closest atoms and distances in Å follow each position.
Element x y z (fractional)
K  0.4557  0.4557  0.0000  6 Cl 3.06-3.08
Rh  0.1984  0.6984  0.5000  6 Cl 2.59-2.84
Cl  0.0695  0.0695  0.0000  2 Rh 2.59
Cl  0.7764  0.2764  0.5000  4 Rh 2.84, 2 K 3.08

Values from the calculation:
The calculation puts the mass density at 3.71 Mg/m³. As for the total magnetic moment: 2.00 μB/f.u. Its space-group type is Imm2. The calculation puts the uncorrected formation energy at -527 meV per atom. For the total DFT energy (no corrections), the calculation gives -14.25 eV per cell. The crystal system is orthorhombic. The calculation puts the relative energy among the computed polymorphs at 255 meV/atom.


(4)
Computed, not measured: Pm8Cu2Tc after structural relaxation at the PBE-GGA level of DFT.

Lattice parameters (Å, degrees): 5.1939 6.9298 9.2227 106.25 106.35 90.00
Closest atoms and distances in Å follow each position.
Element x y z (fractional)
Pm  0.4093  0.5500  0.8187  1 Tc 3.06, 2 Cu 3.33
Pm  0.6676  0.9818  0.3352  1 Cu 2.85, 1 Tc 3.01
Pm  0.8026  0.6759  0.6053  1 Cu 2.83
Pm  0.9706  0.2076  0.9413  1 Cu 2.89, 2 Tc 3.09
Pm  0.1974  0.3241  0.3947  1 Cu 2.83
Pm  0.3324  0.0182  0.6648  1 Cu 2.85, 1 Tc 3.01
Pm  0.5907  0.4500  0.1813  1 Tc 3.06, 2 Cu 3.33
Pm  0.0294  0.7924  0.0587  1 Cu 2.89, 2 Tc 3.09
Cu  0.8179  0.2803  0.6358  3 Pm 2.83-2.89
Cu  0.1821  0.7197  0.3642  3 Pm 2.83-2.89
Tc  0.5000  0.0000  0.0000  8 Pm 3.01-3.09

Values from the calculation:
The calculation puts the mass density at 7.55 Mg/m³. As for the total magnetic moment: 0.00 μB/f.u. As for the formation enthalpy at 0 K: -0.0211 eV/atom. Its space-group type is C2/m. For the total DFT energy (no corrections), the calculation gives -56.80 eV per cell. The crystal system is monoclinic. The calculation puts the relative energy among the computed polymorphs at 0 meV/atom.


(5)
Computed, not measured: CrBiAs2Ir after structural relaxation at the PBE-GGA level of DFT.

Lattice parameters (Å, degrees): 5.4110 5.4110 4.9847 90.00 90.00 90.00
Closest atoms and distances in Å follow each position.
Element x y z (fractional)
Cr  0.5000  0.5000  0.5000  8 As 3.68, 4 Ir 3.83
As  0.0000  0.5000  0.0000  2 Bi 2.71
As  0.5000  0.0000  0.0000  2 Bi 2.71
Ir  0.0000  0.0000  0.5000  2 Bi 2.49
Bi  0.0000  0.0000  0.0000  2 Ir 2.49, 4 As 2.71

Values from the calculation:
The calculation puts the mass density at 6.86 Mg/m³. As for the total magnetic moment: 4.06 μB/f.u. As for the formation enthalpy at 0 K: 1.6453 eV/atom. Its space-group type is P4/mmm. For the total DFT energy (no corrections), the calculation gives -23.44 eV per cell. The crystal system is tetragonal.


(6)
Computed, not measured: Sm4CuHg3 after structural relaxation at the PBE-GGA level of DFT.

Lattice parameters (Å, degrees): 3.7083 3.7083 15.2021 90.00 90.00 90.00
Closest atoms and distances in Å follow each position.
Element x y z (fractional)
Cu  0.5000  0.5000  0.0000  8 Sm 3.11
Sm  0.0000  0.0000  0.8895  4 Cu 3.11, 4 Hg 3.30, 1 Sm 3.36
Sm  0.0000  0.0000  0.1105  4 Cu 3.11, 4 Hg 3.30, 1 Sm 3.36
Sm  0.0000  0.0000  0.3705  8 Hg 3.27-3.28
Sm  0.0000  0.0000  0.6295  8 Hg 3.27-3.28
Hg  0.5000  0.5000  0.2419  8 Sm 3.27-3.30
Hg  0.5000  0.5000  0.5000  8 Sm 3.28
Hg  0.5000  0.5000  0.7581  8 Sm 3.27-3.30

Values from the calculation:
The calculation puts the mass density at 10.06 Mg/m³. As for the total magnetic moment: 0.48 μB/f.u. As for the formation enthalpy at 0 K: -0.3897 eV/atom. Its space-group type is P4/mmm. For the total DFT energy (no corrections), the calculation gives -27.00 eV per cell. The crystal system is tetragonal.


What is the formula in the first record? Sm4ScS5


Number 4 is which compound? Pm8Cu2Tc